First-principles (PBE) data for NaPrTl4 after structural relaxation, as listed in Alexandria via LeMat-Bulk.

Lattice parameters (Å, degrees): 6.354 6.354 6.354 60.00 60.00 60.00
Fractional positions:
Na1 0.000 0.000 0.000
Pr1 0.750 0.750 0.750
Tl1 0.375 0.375 0.375
Tl2 0.375 0.375 0.875
Tl3 0.375 0.875 0.375
Tl4 0.875 0.375 0.375

Calculated values
Excess energy over the best structure of this formula in the dataset   115 meV per atom
DFT formation energy   -57 meV/atom


First-principles (PBE) data for InPt3C after structural relaxation, as listed in Alexandria via LeMat-Bulk.

Lattice parameters (Å, degrees): 4.257 4.257 4.257 90.00 90.00 90.00
Fractional positions:
In1 0.000 0.000 0.000
Pt1 0.000 0.500 0.500
Pt2 0.500 0.000 0.500
Pt3 0.500 0.500 0.000
C1 0.500 0.500 0.500

Calculated values
Excess energy over the best structure of this formula in the dataset   0 meV per atom
DFT formation energy   238 meV/atom


First-principles (PBE) data for TaCd2Cl after structural relaxation, as listed in Alexandria via LeMat-Bulk.

Lattice parameters (Å, degrees): 9.275 9.275 9.275 20.05 20.05 20.05
Fractional positions:
Ta1 0.000 0.000 0.000
Cd1 0.248 0.248 0.248
Cd2 0.752 0.752 0.752
Cl1 0.500 0.500 0.500

Calculated values
Formation energy without anion corrections   0.058 eV per atom
Excess energy over the best structure of this formula in the dataset   94 meV per atom


First-principles (PBE) data for SrAl3Tc after structural relaxation, as listed in Alexandria via LeMat-Bulk.

Lattice parameters (Å, degrees): 6.928 6.928 6.928 128.79 120.96 81.89
Fractional positions:
Sr1 0.000 0.000 0.000
Sr2 0.500 0.000 0.500
Al1 0.000 0.000 0.500
Al2 0.000 0.500 0.000
Al3 0.302 0.500 0.802
Al4 0.500 0.000 0.000
Al5 0.500 0.500 0.500
Al6 0.698 0.500 0.198
Tc1 0.147 0.647 0.500
Tc2 0.853 0.353 0.500

Calculated values
Excess energy over the best structure of this formula in the dataset   106 meV per atom
DFT formation energy   -217 meV/atom


First-principles (PBE) data for Tb2PrHo after structural relaxation, as listed in Alexandria via LeMat-Bulk.

Lattice parameters (Å, degrees): 6.202 6.202 6.202 131.54 131.54 70.95
Fractional positions:
Tb1 0.000 0.000 0.000
Tb2 0.750 0.250 0.500
Pr1 0.250 0.750 0.500
Ho1 0.500 0.500 0.000

Calculated values
Excess energy over the best structure of this formula in the dataset   1 meV per atom
DFT formation energy   20 meV/atom


First-principles (PBE) data for TlSiN2 after structural relaxation, as listed in Alexandria via LeMat-Bulk.

Lattice parameters (Å, degrees): 6.610 6.610 6.610 25.93 25.93 25.93
Fractional positions:
Tl1 0.000 0.000 0.000
Si1 0.500 0.500 0.500
N1 0.119 0.119 0.119
N2 0.881 0.881 0.881

Calculated values
Formation energy without anion corrections   0.121 eV per atom
Excess energy over the best structure of this formula in the dataset   273 meV per atom


First-principles (PBE) data for LaTmCuAg after structural relaxation, as listed in Alexandria via LeMat-Bulk.

Lattice parameters (Å, degrees): 5.156 5.156 5.156 60.00 60.00 60.00
Fractional positions:
La1 0.000 0.000 0.000
Tm1 0.500 0.500 0.500
Cu1 0.750 0.750 0.750
Ag1 0.250 0.250 0.250

Calculated values
Excess energy over the best structure of this formula in the dataset   52 meV per atom
DFT formation energy   -204 meV/atom


First-principles (PBE) data for Tb2Dy5Sc3 after structural relaxation, as listed in Alexandria via LeMat-Bulk.

Lattice parameters (Å, degrees): 9.374 9.374 9.098 108.66 108.66 112.05
Fractional positions:
Tb1 0.024 0.290 0.048
Tb2 0.290 0.024 0.548
Tb3 0.710 0.976 0.452
Tb4 0.976 0.710 0.952
Dy1 0.021 0.979 0.750
Dy2 0.100 0.382 0.728
Dy3 0.218 0.782 0.750
Dy4 0.382 0.100 0.228
Dy5 0.483 0.517 0.250
Dy6 0.517 0.483 0.750
Dy7 0.618 0.900 0.772
Dy8 0.782 0.218 0.250
Dy9 0.900 0.618 0.272
Dy10 0.979 0.021 0.250
Sc1 0.225 0.495 0.452
Sc2 0.281 0.719 0.250
Sc3 0.495 0.225 0.952
Sc4 0.505 0.775 0.048
Sc5 0.719 0.281 0.750
Sc6 0.775 0.505 0.548

Calculated values
DFT formation energy   196 meV/atom


First-principles (PBE) data for Mg5Si6 after structural relaxation, as listed in Alexandria via LeMat-Bulk.

Lattice parameters (Å, degrees): 8.038 4.041 13.265 90.00 93.67 90.00
Fractional positions:
Mg1 0.000 0.000 0.000
Mg2 0.023 0.000 0.500
Mg3 0.076 0.000 0.231
Mg4 0.297 0.500 0.786
Mg5 0.382 0.000 0.399
Mg6 0.440 0.000 0.128
Mg7 0.475 0.000 0.630
Mg8 0.574 0.000 0.881
Mg9 0.724 0.500 0.311
Mg10 0.924 0.000 0.758
Si1 0.046 0.500 0.647
Si2 0.118 0.500 0.370
Si3 0.196 0.500 0.091
Si4 0.268 0.500 0.539
Si5 0.346 0.500 0.258
Si6 0.410 0.500 0.978
Si7 0.640 0.500 0.744
Si8 0.693 0.000 0.475
Si9 0.697 0.500 0.048
Si10 0.761 0.500 0.579
Si11 0.769 0.000 0.150
Si12 0.842 0.500 0.889

Calculated values
Formation energy without anion corrections   0.051 eV per atom
Excess energy over the best structure of this formula in the dataset   26 meV per atom


First-principles (PBE) data for LiGdCuGe after structural relaxation, as listed in Alexandria via LeMat-Bulk.

Lattice parameters (Å, degrees): 4.742 4.742 4.742 60.00 60.00 60.00
Fractional positions:
Li1 0.000 0.000 0.000
Gd1 0.500 0.500 0.500
Cu1 0.250 0.250 0.250
Ge1 0.750 0.750 0.750

Calculated values
DFT formation energy   -368 meV/atom


First-principles (PBE) data for MgSi4Te after structural relaxation, as listed in Alexandria via LeMat-Bulk.

Lattice parameters (Å, degrees): 5.352 5.352 5.352 60.00 60.00 60.00
Fractional positions:
Mg1 0.000 0.000 0.000
Si1 0.119 0.627 0.627
Si2 0.627 0.119 0.627
Si3 0.627 0.627 0.119
Si4 0.627 0.627 0.627
Te1 0.250 0.250 0.250

Calculated values
Formation energy without anion corrections   0.398 eV per atom


First-principles (PBE) data for Ba2IrBr after structural relaxation, as listed in Alexandria via LeMat-Bulk.

Lattice parameters (Å, degrees): 8.808 8.808 8.808 153.16 152.39 38.88
Fractional positions:
Ba1 0.000 0.000 0.000
Ba2 0.712 0.212 0.500
Ir1 0.580 0.580 0.000
Br1 0.324 0.824 0.500

Calculated values
Formation energy without anion corrections   -0.753 eV per atom
Excess energy over the best structure of this formula in the dataset   104 meV per atom


First-principles (PBE) data for AgSe2Cl after structural relaxation, as listed in Alexandria via LeMat-Bulk.

Lattice parameters (Å, degrees): 4.411 4.411 7.270 101.76 101.76 49.20
Fractional positions:
Ag1 0.000 0.000 0.000
Se1 0.466 0.466 0.453
Se2 0.646 0.646 0.256
Cl1 0.296 0.296 0.830

Calculated values
Formation energy without anion corrections   -0.113 eV per atom
Excess energy over the best structure of this formula in the dataset   76 meV per atom


First-principles (PBE) data for Pm2PrHo4 after structural relaxation, as listed in Alexandria via LeMat-Bulk.

Lattice parameters (Å, degrees): 6.120 6.618 11.665 90.00 104.24 90.00
Fractional positions:
Pm1 0.102 0.250 0.488
Pm2 0.343 0.750 0.049
Pm3 0.657 0.250 0.951
Pm4 0.898 0.750 0.512
Pr1 0.462 0.750 0.636
Pr2 0.538 0.250 0.364
Ho1 0.157 0.008 0.790
Ho2 0.157 0.492 0.790
Ho3 0.217 0.250 0.078
Ho4 0.354 0.750 0.333
Ho5 0.646 0.250 0.667
Ho6 0.783 0.750 0.922
Ho7 0.843 0.508 0.210
Ho8 0.843 0.992 0.210

Calculated values
Excess energy over the best structure of this formula in the dataset   103 meV per atom
DFT formation energy   120 meV/atom


First-principles (PBE) data for PmMnNiP2 after structural relaxation, as listed in Alexandria via LeMat-Bulk.

Lattice parameters (Å, degrees): 6.131 6.131 6.131 144.39 144.39 51.24
Fractional positions:
Pm1 0.000 0.000 0.000
Mn1 0.750 0.250 0.500
Ni1 0.250 0.750 0.500
P1 0.360 0.360 0.000
P2 0.640 0.640 0.000

Calculated values
DFT formation energy   -921 meV/atom


First-principles (PBE) data for AgTe2Mo after structural relaxation, as listed in Alexandria via LeMat-Bulk.

Lattice parameters (Å, degrees): 4.929 4.929 4.929 60.00 60.00 60.00
Fractional positions:
Ag1 0.000 0.000 0.000
Te1 0.250 0.250 0.250
Te2 0.750 0.750 0.750
Mo1 0.500 0.500 0.500

Calculated values
Formation energy without anion corrections   0.419 eV per atom
Excess energy over the best structure of this formula in the dataset   316 meV per atom


First-principles (PBE) data for NbFeGeH after structural relaxation, as listed in Alexandria via LeMat-Bulk.

Lattice parameters (Å, degrees): 3.010 5.767 5.767 29.04 90.00 90.00
Fractional positions:
Nb1 0.000 0.000 0.000
Fe1 0.500 0.644 0.644
Ge1 0.000 0.272 0.272
H1 0.500 0.904 0.904

Calculated values
Excess energy over the best structure of this formula in the dataset   203 meV per atom


First-principles (PBE) data for CaLa5Nd6 after structural relaxation, as listed in Alexandria via LeMat-Bulk.

Lattice parameters (Å, degrees): 9.843 9.843 9.843 148.88 115.44 73.40
Fractional positions:
Ca1 0.000 0.000 0.000
La1 0.172 0.672 0.500
La2 0.332 0.332 0.000
La3 0.500 0.000 0.500
La4 0.668 0.668 0.000
La5 0.828 0.328 0.500
Nd1 0.085 0.832 0.253
Nd2 0.259 0.500 0.759
Nd3 0.422 0.168 0.253
Nd4 0.578 0.832 0.747
Nd5 0.741 0.500 0.241
Nd6 0.915 0.168 0.747

Calculated values
DFT formation energy   30 meV/atom


First-principles (PBE) data for La4PSe2S after structural relaxation, as listed in Alexandria via LeMat-Bulk.

Lattice parameters (Å, degrees): 7.353 4.245 7.458 90.00 109.12 90.00
Fractional positions:
La1 0.242 0.000 0.232
La2 0.253 0.500 0.767
La3 0.747 0.500 0.233
La4 0.758 0.000 0.768
P1 0.000 0.500 0.000
Se1 0.000 0.000 0.500
Se2 0.500 0.500 0.500
S1 0.500 0.000 0.000

Calculated values
Formation energy without anion corrections   -1.983 eV per atom


First-principles (PBE) data for Co2CuCl after structural relaxation, as listed in Alexandria via LeMat-Bulk.

Lattice parameters (Å, degrees): 4.232 4.232 2.880 90.00 90.00 90.00
Fractional positions:
Co1 0.000 0.500 0.000
Co2 0.500 0.000 0.000
Cu1 0.000 0.000 0.500
Cl1 0.500 0.500 0.500

Calculated values
Formation energy without anion corrections   0.649 eV per atom
Excess energy over the best structure of this formula in the dataset   441 meV per atom


| no. | total moment (μB/cell) | calculated total energy (eV/atom) |
| --- | --- | --- |
| 1 | 0.00 | -2.651 |
| 2 | 0.00 | -5.779 |
| 3 | 0.01 | -3.825 |
| 4 | 0.00 | -4.872 |
| 5 | 0.00 | -4.634 |
| 6 | 0.00 | -5.989 |
| 7 | 0.00 | -4.291 |
| 8 | 0.00 | -4.931 |
| 9 | 0.00 | -3.631 |
| 10 | 7.06 | -6.546 |
| 11 | 0.00 | -4.006 |
| 12 | 0.00 | -4.348 |
| 13 | 0.00 | -3.030 |
| 14 | 0.00 | -4.536 |
| 15 | 0.00 | -7.026 |
| 16 | 0.94 | -4.572 |
| 17 | 0.00 | -6.631 |
| 18 | 0.00 | -4.574 |
| 19 | 0.00 | -6.510 |
| 20 | 3.64 | -4.390 |